# 1
{
  "formula": "Ba2AcI",
  "functional": "GGA-PBE",
  "state": "relaxed",
  "spacegroup": "P4/mmm",
  "raw_formation_energy_ev_per_atom": -0.539,
  "n_ef_per_ev_cell": 4.9,
  "rho_g_cm3": 5.39,
  "de_polymorph_mev_per_atom": 56,
  "e_tot_ha_per_atom": -0.107,
  "lattice_angstrom": [[4.149, 0.000, 0.000], [0.000, 4.149, 0.000], [0.000, 0.000, 11.255]],
  "species": ["Ba", "Ba", "Ac", "I"],
  "frac_coords": [[0.000, 0.000, 0.222], [0.000, 0.000, 0.778], [0.500, 0.500, 0.500], [0.500, 0.500, 0.000]]
}

---

# 2
{
  "formula": "Sm2ScBi3",
  "functional": "GGA-PBE",
  "state": "relaxed",
  "spacegroup": "C2/m",
  "n_ef_per_ev_cell": 2.2,
  "rho_g_cm3": 8.55,
  "de_polymorph_mev_per_atom": 0,
  "e_tot_ha_per_atom": -0.198,
  "lattice_angstrom": [[3.869, -6.706, 0.000], [3.869, 6.706, 0.000], [-2.592, 0.000, 7.283]],
  "species": ["Sm", "Sm", "Sm", "Sm", "Sc", "Sc", "Bi", "Bi", "Bi", "Bi", "Bi", "Bi"],
  "frac_coords": [[0.000, 0.000, 0.000], [0.162, 0.838, 0.500], [0.500, 0.500, 0.500], [0.838, 0.162, 0.500], [0.331, 0.669, 0.000], [0.669, 0.331, 0.000], [0.080, 0.424, 0.239], [0.267, 0.267, 0.767], [0.424, 0.080, 0.239], [0.576, 0.920, 0.761], [0.733, 0.733, 0.233], [0.920, 0.576, 0.761]]
}

---

# 3
{
  "formula": "Zr2W",
  "functional": "GGA-PBE",
  "state": "relaxed",
  "spacegroup": "Fd-3m",
  "n_ef_per_ev_cell": 11.0,
  "rho_g_cm3": 10.00,
  "de_polymorph_mev_per_atom": 681,
  "e_tot_ha_per_atom": -0.340,
  "lattice_angstrom": [[0.000, 3.933, 3.933], [3.933, 0.000, 3.933], [3.933, 3.933, 0.000]],
  "species": ["Zr", "Zr", "Zr", "Zr", "W", "W"],
  "frac_coords": [[0.000, 0.000, 0.000], [0.000, 0.000, 0.500], [0.000, 0.500, 0.000], [0.500, 0.000, 0.000], [0.375, 0.375, 0.375], [0.625, 0.625, 0.625]]
}

---

# 4
{
  "formula": "Li5PmAg6",
  "functional": "GGA-PBE",
  "state": "relaxed",
  "spacegroup": "Immm",
  "n_ef_per_ev_cell": 4.0,
  "rho_g_cm3": 6.30,
  "e_tot_ha_per_atom": -0.103,
  "lattice_angstrom": [[-2.383, 3.276, 6.983], [2.383, -3.276, 6.983], [2.383, 3.276, -6.983]],
  "species": ["Li", "Li", "Li", "Li", "Li", "Pm", "Ag", "Ag", "Ag", "Ag", "Ag", "Ag"],
  "frac_coords": [[0.000, 0.000, 0.000], [0.169, 0.669, 0.500], [0.339, 0.339, 0.000], [0.661, 0.661, 0.000], [0.831, 0.331, 0.500], [0.500, 0.000, 0.500], [0.053, 0.821, 0.232], [0.217, 0.500, 0.717], [0.411, 0.179, 0.232], [0.589, 0.821, 0.768], [0.783, 0.500, 0.283], [0.947, 0.179, 0.768]]
}

---

# 5
{
  "formula": "K2Ba2NbO6",
  "functional": "GGA-PBE",
  "state": "relaxed",
  "spacegroup": "C2/m",
  "raw_formation_energy_ev_per_atom": -2.163,
  "n_ef_per_ev_cell": 7.4,
  "rho_g_cm3": 3.87,
  "e_tot_ha_per_atom": -0.233,
  "lattice_angstrom": [[3.284, -5.523, 0.000], [3.284, 5.523, 0.000], [-1.744, 0.000, 6.409]],
  "species": ["K", "K", "Ba", "Ba", "Nb", "O", "O", "O", "O", "O", "O"],
  "frac_coords": [[0.148, 0.852, 0.000], [0.852, 0.148, 0.000], [0.339, 0.661, 0.500], [0.661, 0.339, 0.500], [0.000, 0.000, 0.500], [0.041, 0.310, 0.677], [0.205, 0.205, 0.315], [0.310, 0.041, 0.677], [0.690, 0.959, 0.323], [0.795, 0.795, 0.685], [0.959, 0.690, 0.323]]
}

---

# 6
{
  "formula": "GaI2O2",
  "functional": "GGA-PBE",
  "state": "relaxed",
  "spacegroup": "P4/mmm",
  "raw_formation_energy_ev_per_atom": -0.025,
  "n_ef_per_ev_cell": 2.0,
  "rho_g_cm3": 5.42,
  "de_polymorph_mev_per_atom": 0,
  "e_tot_ha_per_atom": -0.119,
  "lattice_angstrom": [[4.108, 0.000, 0.000], [0.000, 4.108, 0.000], [0.000, 0.000, 6.448]],
  "species": ["Ga", "I", "I", "O", "O"],
  "frac_coords": [[0.000, 0.000, 0.000], [0.000, 0.000, 0.500], [0.500, 0.500, 0.500], [0.000, 0.500, 0.000], [0.500, 0.000, 0.000]]
}

---

# 7
{
  "formula": "MgSc3Tc",
  "functional": "GGA-PBE",
  "state": "relaxed",
  "spacegroup": "Pm-3m",
  "n_ef_per_ev_cell": 7.7,
  "rho_g_cm3": 3.32,
  "de_polymorph_mev_per_atom": 1485,
  "e_tot_ha_per_atom": -0.179,
  "lattice_angstrom": [[5.050, 0.000, 0.000], [0.000, 5.050, 0.000], [0.000, 0.000, 5.050]],
  "species": ["Mg", "Sc", "Sc", "Sc", "Tc"],
  "frac_coords": [[0.000, 0.000, 0.000], [0.000, 0.000, 0.500], [0.000, 0.500, 0.000], [0.500, 0.000, 0.000], [0.500, 0.500, 0.500]]
}

---

# 8
{
  "formula": "Er6TlAs2S3",
  "functional": "GGA-PBE",
  "state": "relaxed",
  "spacegroup": "C2/m",
  "raw_formation_energy_ev_per_atom": -1.496,
  "n_ef_per_ev_cell": 4.1,
  "rho_g_cm3": 8.69,
  "e_tot_ha_per_atom": -0.212,
  "lattice_angstrom": [[8.794, -1.990, 0.000], [8.794, 1.990, 0.000], [-1.849, 0.000, 7.937]],
  "species": ["Er", "Er", "Er", "Er", "Er", "Er", "Tl", "As", "As", "S", "S", "S"],
  "frac_coords": [[0.001, 0.001, 0.231], [0.328, 0.328, 0.413], [0.332, 0.332, 0.917], [0.668, 0.668, 0.083], [0.672, 0.672, 0.587], [0.999, 0.999, 0.769], [0.500, 0.500, 0.500], [0.167, 0.167, 0.834], [0.833, 0.833, 0.166], [0.169, 0.169, 0.332], [0.500, 0.500, 0.000], [0.831, 0.831, 0.668]]
}

---

# 9
{
  "formula": "LiPmSm2Hg4",
  "functional": "GGA-PBE",
  "state": "relaxed",
  "spacegroup": "R-3m",
  "n_ef_per_ev_cell": 7.7,
  "rho_g_cm3": 10.08,
  "e_tot_ha_per_atom": -0.096,
  "lattice_angstrom": [[2.605, 1.504, 8.793], [-2.605, 1.504, 8.793], [0.000, -3.008, 8.793]],
  "species": ["Li", "Pm", "Sm", "Sm", "Hg", "Hg", "Hg", "Hg"],
  "frac_coords": [[0.000, 0.000, 0.000], [0.500, 0.500, 0.500], [0.256, 0.256, 0.256], [0.744, 0.744, 0.744], [0.121, 0.121, 0.121], [0.373, 0.373, 0.373], [0.627, 0.627, 0.627], [0.879, 0.879, 0.879]]
}

---

# 10
{
  "formula": "Os2AuO",
  "functional": "GGA-PBE",
  "state": "relaxed",
  "spacegroup": "I-42d",
  "raw_formation_energy_ev_per_atom": 0.842,
  "n_ef_per_ev_cell": 7.7,
  "rho_g_cm3": 14.63,
  "e_tot_ha_per_atom": -0.251,
  "lattice_angstrom": [[-2.210, 2.210, 6.896], [2.210, -2.210, 6.896], [2.210, 2.210, -6.896]],
  "species": ["Os", "Os", "Os", "Os", "Au", "Au", "O", "O"],
  "frac_coords": [[0.375, 0.237, 0.362], [0.763, 0.125, 0.138], [0.875, 0.013, 0.638], [0.987, 0.625, 0.862], [0.250, 0.750, 0.500], [0.500, 0.500, 0.000], [0.000, 0.000, 0.000], [0.750, 0.250, 0.500]]
}

---

# 11
{
  "formula": "ZrUPa",
  "functional": "GGA-PBE",
  "state": "relaxed",
  "spacegroup": "P4/nmm",
  "n_ef_per_ev_cell": 14.2,
  "rho_g_cm3": 13.54,
  "de_polymorph_mev_per_atom": 49,
  "e_tot_ha_per_atom": -0.354,
  "lattice_angstrom": [[3.021, 0.000, 0.000], [0.000, 3.021, 0.000], [0.000, 0.000, 15.067]],
  "species": ["Zr", "Zr", "U", "U", "Pa", "Pa"],
  "frac_coords": [[0.250, 0.250, 0.080], [0.750, 0.750, 0.920], [0.250, 0.250, 0.421], [0.750, 0.750, 0.579], [0.250, 0.250, 0.747], [0.750, 0.750, 0.253]]
}

---

# 12
{
  "formula": "Ca4AcPb15",
  "functional": "GGA-PBE",
  "state": "relaxed",
  "spacegroup": "P4/mmm",
  "n_ef_per_ev_cell": 7.8,
  "rho_g_cm3": 9.47,
  "e_tot_ha_per_atom": -0.137,
  "lattice_angstrom": [[4.970, 0.000, 0.000], [0.000, 4.970, 0.000], [0.000, 0.000, 24.803]],
  "species": ["Ca", "Ca", "Ca", "Ca", "Ac", "Pb", "Pb", "Pb", "Pb", "Pb", "Pb", "Pb", "Pb", "Pb", "Pb", "Pb", "Pb", "Pb", "Pb", "Pb"],
  "frac_coords": [[0.000, 0.000, 0.099], [0.000, 0.000, 0.297], [0.000, 0.000, 0.703], [0.000, 0.000, 0.901], [0.000, 0.000, 0.500], [0.000, 0.500, 0.000], [0.000, 0.500, 0.198], [0.000, 0.500, 0.394], [0.000, 0.500, 0.606], [0.000, 0.500, 0.802], [0.500, 0.000, 0.000], [0.500, 0.000, 0.198], [0.500, 0.000, 0.394], [0.500, 0.000, 0.606], [0.500, 0.000, 0.802], [0.500, 0.500, 0.099], [0.500, 0.500, 0.297], [0.500, 0.500, 0.500], [0.500, 0.500, 0.703], [0.500, 0.500, 0.901]]
}

---

# 13
{
  "formula": "PuCd2In",
  "functional": "GGA-PBE",
  "state": "relaxed",
  "spacegroup": "R3m",
  "n_ef_per_ev_cell": 8.1,
  "rho_g_cm3": 9.72,
  "de_polymorph_mev_per_atom": 132,
  "e_tot_ha_per_atom": -0.172,
  "lattice_angstrom": [[1.631, 0.942, 10.818], [-1.631, 0.942, 10.818], [0.000, -1.883, 10.818]],
  "species": ["Pu", "Cd", "Cd", "In"],
  "frac_coords": [[0.000, 0.000, 0.000], [0.581, 0.581, 0.581], [0.752, 0.752, 0.752], [0.166, 0.166, 0.166]]
}

---

# 14
{
  "formula": "VSnRh2",
  "functional": "GGA-PBE",
  "state": "relaxed",
  "spacegroup": "I4/mmm",
  "n_ef_per_ev_cell": 4.2,
  "rho_g_cm3": 10.10,
  "e_tot_ha_per_atom": -0.271,
  "lattice_angstrom": [[-2.043, 2.043, 3.697], [2.043, -2.043, 3.697], [2.043, 2.043, -3.697]],
  "species": ["V", "Sn", "Rh", "Rh"],
  "frac_coords": [[0.000, 0.000, 0.000], [0.500, 0.500, 0.000], [0.250, 0.750, 0.500], [0.750, 0.250, 0.500]]
}

---

# 15
{
  "formula": "Ti2InIN",
  "functional": "GGA-PBE",
  "state": "relaxed",
  "spacegroup": "P4/mmm",
  "raw_formation_energy_ev_per_atom": 0.117,
  "n_ef_per_ev_cell": 5.1,
  "rho_g_cm3": 5.69,
  "e_tot_ha_per_atom": -0.204,
  "lattice_angstrom": [[4.239, 0.000, 0.000], [0.000, 4.239, 0.000], [0.000, 0.000, 5.710]],
  "species": ["Ti", "Ti", "In", "I", "N"],
  "frac_coords": [[0.000, 0.500, 0.000], [0.500, 0.000, 0.000], [0.000, 0.000, 0.500], [0.500, 0.500, 0.500], [0.000, 0.000, 0.000]]
}

---

# 16
{
  "formula": "ZrTl2Pb",
  "functional": "GGA-PBE",
  "state": "relaxed",
  "spacegroup": "Pmmm",
  "n_ef_per_ev_cell": 2.8,
  "rho_g_cm3": 11.23,
  "de_polymorph_mev_per_atom": 95,
  "e_tot_ha_per_atom": -0.152,
  "lattice_angstrom": [[3.494, 0.000, 0.000], [0.000, 4.577, 0.000], [0.000, 0.000, 6.538]],
  "species": ["Zr", "Tl", "Tl", "Pb"],
  "frac_coords": [[0.000, 0.000, 0.000], [0.500, 0.500, 0.233], [0.500, 0.500, 0.767], [0.000, 0.000, 0.500]]
}

---

# 17
{
  "formula": "LiEr4Ga12",
  "functional": "GGA-PBE",
  "state": "relaxed",
  "spacegroup": "Im-3m",
  "n_ef_per_ev_cell": 3.0,
  "rho_g_cm3": 7.86,
  "e_tot_ha_per_atom": -0.141,
  "lattice_angstrom": [[-4.307, 4.307, 4.307], [4.307, -4.307, 4.307], [4.307, 4.307, -4.307]],
  "species": ["Li", "Er", "Er", "Er", "Er", "Ga", "Ga", "Ga", "Ga", "Ga", "Ga", "Ga", "Ga", "Ga", "Ga", "Ga", "Ga"],
  "frac_coords": [[0.000, 0.000, 0.000], [0.000, 0.000, 0.500], [0.000, 0.500, 0.000], [0.500, 0.000, 0.000], [0.500, 0.500, 0.500], [0.000, 0.294, 0.294], [0.000, 0.706, 0.706], [0.250, 0.500, 0.750], [0.250, 0.750, 0.500], [0.294, 0.000, 0.294], [0.294, 0.294, 0.000], [0.500, 0.250, 0.750], [0.500, 0.750, 0.250], [0.706, 0.000, 0.706], [0.706, 0.706, 0.000], [0.750, 0.250, 0.500], [0.750, 0.500, 0.250]]
}

---

# 18
{
  "formula": "BaSr",
  "functional": "GGA-PBE",
  "state": "relaxed",
  "spacegroup": "Fd-3m",
  "n_ef_per_ev_cell": 6.8,
  "rho_g_cm3": 3.20,
  "de_polymorph_mev_per_atom": 9,
  "e_tot_ha_per_atom": -0.066,
  "lattice_angstrom": [[0.000, 4.886, 4.886], [4.886, 0.000, 4.886], [4.886, 4.886, 0.000]],
  "species": ["Ba", "Ba", "Sr", "Sr"],
  "frac_coords": [[0.125, 0.125, 0.125], [0.875, 0.875, 0.875], [0.375, 0.375, 0.375], [0.625, 0.625, 0.625]]
}

---

# 19
{
  "formula": "Sc2AsRu",
  "functional": "GGA-PBE",
  "state": "relaxed",
  "spacegroup": "R-3m",
  "n_ef_per_ev_cell": 2.6,
  "rho_g_cm3": 5.77,
  "e_tot_ha_per_atom": -0.265,
  "lattice_angstrom": [[1.745, 1.008, 7.252], [-1.745, 1.008, 7.252], [0.000, -2.015, 7.252]],
  "species": ["Sc", "Sc", "As", "Ru"],
  "frac_coords": [[0.249, 0.249, 0.249], [0.751, 0.751, 0.751], [0.500, 0.500, 0.500], [0.000, 0.000, 0.000]]
}

---

Number 1: V 193.8 Å³/cell. Number 2: V 377.9 Å³/cell. Number 3: V 121.7 Å³/cell. Number 4: V 218.1 Å³/cell. Number 5: V 232.5 Å³/cell. Number 6: V 108.8 Å³/cell. Number 7: V 128.8 Å³/cell. Number 8: V 277.8 Å³/cell. Number 9: V 206.7 Å³/cell. Number 10: V 134.7 Å³/cell. Number 11: V 137.5 Å³/cell. Number 12: V 612.6 Å³/cell. Number 13: V 99.7 Å³/cell. Number 14: V 61.7 Å³/cell. Number 15: V 102.6 Å³/cell. Number 16: V 104.6 Å³/cell. Number 17: V 319.6 Å³/cell. Number 18: V 233.3 Å³/cell. Number 19: V 76.5 Å³/cell.